A relaxed Mg2SiI crystal, computed with GGA-PBE.

- Volume: 93.2 Å³/cell
- Energy above the lowest structure with this stoichiometry: 286.5 meV per atom
- Uncorrected energy: -9.076 eV per cell
- E_form (uncorrected): 272 meV per atom

Unit cell a=5.0894 b=5.0894 c=5.0894 alpha=60.00 beta=60.00 gamma=60.00
Fractional coordinates of all 4 atoms:
Mg 0.2500 0.2500 0.2500
Mg 0.7500 0.7500 0.7500
Si 0.0000 0.0000 0.0000
I 0.5000 0.5000 0.5000

***

A relaxed Mg2SiI crystal, computed with GGA-PBE.

- Volume: 270.6 Å³/cell
- Energy above the lowest structure with this stoichiometry: 0.0 meV per atom
- Uncorrected energy: -20.444 eV per cell
- E_form (uncorrected): -15 meV per atom

Unit cell a=7.7899 b=7.7899 c=7.7899 alpha=130.02 beta=130.02 gamma=73.38
Fractional coordinates of all 8 atoms:
Mg 0.0685 0.6250 0.9435
Mg 0.3750 0.3185 0.4435
Mg 0.6815 0.1250 0.0565
Mg 0.8750 0.9315 0.5565
Si 0.0000 0.0000 0.0000
Si 0.7500 0.2500 0.5000
I 0.2500 0.7500 0.5000
I 0.5000 0.5000 0.0000

***

A relaxed MgSiI3 crystal, computed with GGA-PBE.

- Volume: 182.1 Å³/cell
- Energy above the lowest structure with this stoichiometry: 61.6 meV per atom
- Uncorrected energy: -11.151 eV per cell
- E_form (uncorrected): 103 meV per atom

Unit cell a=5.6684 b=5.6684 c=5.6684 alpha=90.00 beta=90.00 gamma=90.00
Fractional coordinates of all 5 atoms:
Mg 0.0000 0.0000 0.0000
Si 0.5000 0.5000 0.5000
I 0.0000 0.0000 0.5000
I 0.0000 0.5000 0.0000
I 0.5000 0.0000 0.0000

***

A relaxed MgSiSnI2 crystal, computed with GGA-PBE.

- Volume: 167.3 Å³/cell
- Uncorrected energy: -12.454 eV per cell
- E_form (uncorrected): 333 meV per atom

Unit cell a=5.7224 b=5.7224 c=5.1076 alpha=90.00 beta=90.00 gamma=90.00
Fractional coordinates of all 5 atoms:
Mg 0.0000 0.0000 0.0000
Si 0.0000 0.0000 0.5000
Sn 0.5000 0.5000 0.0000
I 0.0000 0.5000 0.5000
I 0.5000 0.0000 0.5000

***

A relaxed MgSi2TeI crystal, computed with GGA-PBE.

- Volume: 170.8 Å³/cell
- Uncorrected energy: -12.065 eV per cell
- E_form (uncorrected): 1014 meV per atom

Unit cell a=5.2199 b=5.2199 c=6.2680 alpha=90.00 beta=90.00 gamma=90.00
Fractional coordinates of all 5 atoms:
Mg 0.0000 0.0000 0.0000
Si 0.0000 0.5000 0.5000
Si 0.5000 0.0000 0.5000
Te 0.5000 0.5000 0.5000
I 0.5000 0.5000 0.0000

***

A relaxed MgZrSi2I crystal, computed with GGA-PBE.

- Volume: 153.5 Å³/cell
- Uncorrected energy: -19.800 eV per cell
- E_form (uncorrected): 548 meV per atom

Unit cell a=5.1939 b=5.1939 c=5.6893 alpha=90.00 beta=90.00 gamma=90.00
Fractional coordinates of all 5 atoms:
Mg 0.0000 0.0000 0.0000
Zr 0.5000 0.5000 0.5000
Si 0.0000 0.5000 0.5000
Si 0.5000 0.0000 0.5000
I 0.5000 0.5000 0.0000

***

A relaxed SmMgI2 crystal, computed with GGA-PBE.

- Volume: 139.3 Å³/cell
- Uncorrected energy: -11.198 eV per cell
- E_form (uncorrected): -446 meV per atom

Unit cell a=10.2325 b=10.2325 c=10.2325 alpha=22.65 beta=22.65 gamma=22.65
Fractional coordinates of all 4 atoms:
Sm 0.0000 0.0000 0.0000
Mg 0.5000 0.5000 0.5000
I 0.1066 0.1066 0.1066
I 0.8934 0.8934 0.8934

***

A relaxed SmMgI6 crystal, computed with GGA-PBE.

- Volume: 387.5 Å³/cell
- Uncorrected energy: -23.408 eV per cell
- E_form (uncorrected): -974 meV per atom

Unit cell a=8.2519 b=8.2519 c=7.5484 alpha=99.89 beta=99.89 gamma=125.57
Fractional coordinates of all 8 atoms:
Sm 0.0000 0.0000 0.0000
Mg 0.5000 0.5000 0.5000
I 0.1516 0.4340 0.2374
I 0.1924 0.1924 0.6932
I 0.4340 0.1516 0.2374
I 0.5660 0.8484 0.7626
I 0.8076 0.8076 0.3068
I 0.8484 0.5660 0.7626

***

A relaxed SmMgI4 crystal, computed with GGA-PBE.

- Volume: 257.0 Å³/cell
- Uncorrected energy: -19.190 eV per cell
- E_form (uncorrected): -1113 meV per atom

Unit cell a=8.9300 b=8.9300 c=7.8927 alpha=113.81 beta=113.81 gamma=26.67
Fractional coordinates of all 6 atoms:
Sm 0.0000 0.0000 0.0000
Mg 0.5000 0.5000 0.5000
I 0.1061 0.1061 0.7584
I 0.3847 0.3847 0.6973
I 0.6153 0.6153 0.3027
I 0.8939 0.8939 0.2416

***

A relaxed SmMgTlI6 crystal, computed with GGA-PBE.

- Volume: 805.8 Å³/cell
- Uncorrected energy: -55.862 eV per cell
- E_form (uncorrected): -1106 meV per atom

Unit cell a=7.8106 b=7.8106 c=15.2517 alpha=90.00 beta=90.00 gamma=120.00
Fractional coordinates of all 18 atoms:
Sm 0.3333 0.6667 0.2500
Sm 0.6667 0.3333 0.7500
Mg 0.3333 0.6667 0.7500
Mg 0.6667 0.3333 0.2500
Tl 0.0000 0.0000 0.0000
Tl 0.0000 0.0000 0.5000
I 0.0139 0.3746 0.6359
I 0.0139 0.6393 0.8641
I 0.3607 0.3746 0.8641
I 0.3607 0.9861 0.6359
I 0.3746 0.0139 0.1359
I 0.3746 0.3607 0.3641
I 0.6254 0.6393 0.6359
I 0.6254 0.9861 0.8641
I 0.6393 0.0139 0.3641
I 0.6393 0.6254 0.1359
I 0.9861 0.3607 0.1359
I 0.9861 0.6254 0.3641

***

A relaxed MgSnI2 crystal, computed with GGA-PBE.

- Volume: 143.0 Å³/cell
- Energy above the lowest structure with this stoichiometry: 0.0 meV per atom
- Uncorrected energy: -10.283 eV per cell
- E_form (uncorrected): -396 meV per atom

Unit cell a=10.6223 b=10.6223 c=10.6223 alpha=21.65 beta=21.65 gamma=21.65
Fractional coordinates of all 4 atoms:
Mg 0.0000 0.0000 0.0000
Sn 0.5000 0.5000 0.5000
I 0.3908 0.3908 0.3908
I 0.6092 0.6092 0.6092

***

A relaxed MgSnI2 crystal, computed with GGA-PBE.

- Volume: 272.0 Å³/cell
- Energy above the lowest structure with this stoichiometry: 218.2 meV per atom
- Uncorrected energy: -18.820 eV per cell
- E_form (uncorrected): -178 meV per atom

Unit cell a=7.0994 b=7.0994 c=7.0994 alpha=105.94 beta=105.94 gamma=116.80
Fractional coordinates of all 8 atoms:
Mg 0.0000 0.0000 0.0000
Mg 0.7500 0.2500 0.5000
Sn 0.2500 0.7500 0.5000
Sn 0.5000 0.5000 0.0000
I 0.0911 0.6250 0.9661
I 0.3750 0.3411 0.4661
I 0.6589 0.1250 0.0339
I 0.8750 0.9089 0.5339

***

A relaxed MgSnI3 crystal, computed with GGA-PBE.

- Volume: 185.0 Å³/cell
- Energy above the lowest structure with this stoichiometry: 0.0 meV per atom
- Uncorrected energy: -11.899 eV per cell
- E_form (uncorrected): -330 meV per atom

Unit cell a=5.6976 b=5.6976 c=5.6976 alpha=90.00 beta=90.00 gamma=90.00
Fractional coordinates of all 5 atoms:
Mg 0.0000 0.0000 0.0000
Sn 0.5000 0.5000 0.5000
I 0.0000 0.0000 0.5000
I 0.0000 0.5000 0.0000
I 0.5000 0.0000 0.0000

***

A relaxed MgSn2I6 crystal, computed with GGA-PBE.

- Volume: 395.4 Å³/cell
- Energy above the lowest structure with this stoichiometry: 0.0 meV per atom
- Uncorrected energy: -25.021 eV per cell
- E_form (uncorrected): -680 meV per atom

Unit cell a=8.7659 b=8.7659 c=11.0943 alpha=107.49 beta=107.49 gamma=29.21
Fractional coordinates of all 9 atoms:
Mg 0.0000 0.0000 0.0000
Sn 0.3345 0.3345 0.6703
Sn 0.6655 0.6655 0.3297
I 0.0209 0.0209 0.2723
I 0.3065 0.3065 0.3638
I 0.3747 0.3747 0.9679
I 0.6253 0.6253 0.0321
I 0.6935 0.6935 0.6362
I 0.9791 0.9791 0.7277

***

A relaxed MgSnI2 crystal, computed with GGA-PBE.

- Volume: 125.0 Å³/cell
- Energy above the lowest structure with this stoichiometry: 326.0 meV per atom
- Uncorrected energy: -8.979 eV per cell
- E_form (uncorrected): -70 meV per atom

Unit cell a=5.6122 b=5.6122 c=5.6122 alpha=60.00 beta=60.00 gamma=60.00
Fractional coordinates of all 4 atoms:
Mg 0.0000 0.0000 0.0000
Sn 0.5000 0.5000 0.5000
I 0.2500 0.2500 0.2500
I 0.7500 0.7500 0.7500

***

A relaxed Mg3SnI crystal, computed with GGA-PBE.

- Volume: 170.5 Å³/cell
- Energy above the lowest structure with this stoichiometry: 0.0 meV per atom
- Uncorrected energy: -10.508 eV per cell
- E_form (uncorrected): -34 meV per atom

Unit cell a=5.5447 b=5.5447 c=5.5447 alpha=90.00 beta=90.00 gamma=90.00
Fractional coordinates of all 5 atoms:
Mg 0.0000 0.0000 0.5000
Mg 0.0000 0.5000 0.0000
Mg 0.5000 0.0000 0.0000
Sn 0.0000 0.0000 0.0000
I 0.5000 0.5000 0.5000

***

A relaxed MgSn2I6 crystal, computed with GGA-PBE.

- Volume: 757.4 Å³/cell
- Energy above the lowest structure with this stoichiometry: 55.1 meV per atom
- Uncorrected energy: -49.049 eV per cell
- E_form (uncorrected): -625 meV per atom

Unit cell a=7.4119 b=7.4119 c=13.7861 alpha=90.00 beta=90.00 gamma=90.00
Fractional coordinates of all 18 atoms:
Mg 0.0000 0.0000 0.0000
Mg 0.5000 0.5000 0.5000
Sn 0.0000 0.0000 0.3342
Sn 0.0000 0.0000 0.6658
Sn 0.5000 0.5000 0.1658
Sn 0.5000 0.5000 0.8342
I 0.1917 0.1917 0.1562
I 0.1917 0.1917 0.8438
I 0.2134 0.2134 0.5000
I 0.2866 0.7134 0.0000
I 0.3083 0.6917 0.3438
I 0.3083 0.6917 0.6562
I 0.6917 0.3083 0.3438
I 0.6917 0.3083 0.6562
I 0.7134 0.2866 0.0000
I 0.7866 0.7866 0.5000
I 0.8083 0.8083 0.1562
I 0.8083 0.8083 0.8438

***

A relaxed SrMgSn2I crystal, computed with GGA-PBE.

- Volume: 259.4 Å³/cell
- Uncorrected energy: -9.301 eV per cell
- E_form (uncorrected): 706 meV per atom

Unit cell a=6.3000 b=6.3000 c=6.5364 alpha=90.00 beta=90.00 gamma=90.00
Fractional coordinates of all 5 atoms:
Sr 0.0000 0.0000 0.0000
Mg 0.0000 0.0000 0.5000
Sn 0.0000 0.5000 0.0000
Sn 0.5000 0.0000 0.0000
I 0.5000 0.5000 0.5000

***

A relaxed Sr2MgSnI crystal, computed with GGA-PBE.

- Volume: 209.6 Å³/cell
- Uncorrected energy: -10.919 eV per cell
- E_form (uncorrected): -82 meV per atom

Unit cell a=6.1390 b=6.1390 c=5.5608 alpha=90.00 beta=90.00 gamma=90.00
Fractional coordinates of all 5 atoms:
Sr 0.0000 0.5000 0.0000
Sr 0.5000 0.0000 0.0000
Mg 0.0000 0.0000 0.5000
Sn 0.5000 0.5000 0.5000
I 0.0000 0.0000 0.0000

***

A relaxed MgSnTeI2 crystal, computed with GGA-PBE.

- Volume: 177.4 Å³/cell
- Energy above the lowest structure with this stoichiometry: 0.0 meV per atom
- Uncorrected energy: -12.967 eV per cell
- E_form (uncorrected): -226 meV per atom

Unit cell a=5.5083 b=5.5083 c=5.8474 alpha=90.00 beta=90.00 gamma=90.00
Fractional coordinates of all 5 atoms:
Mg 0.0000 0.0000 0.0000
Sn 0.5000 0.5000 0.5000
Te 0.0000 0.0000 0.5000
I 0.0000 0.5000 0.0000
I 0.5000 0.0000 0.0000